[1]
Density functional theory data (SCAN) for a PBEsol-optimized structure of Ag2Ru.

abc: 10.566 2.756 6.623
angles: 90.00 104.68 90.00
Fractional positions:
Ag 0.017 0.000 0.306
Ag 0.142 0.500 0.034
Ag 0.358 0.000 0.966
Ag 0.483 0.500 0.694
Ag 0.517 0.500 0.306
Ag 0.642 0.000 0.034
Ag 0.858 0.500 0.966
Ag 0.983 0.000 0.694
Ru 0.206 0.500 0.621
Ru 0.294 0.000 0.379
Ru 0.706 0.000 0.621
Ru 0.794 0.500 0.379

* space-group type: C2/m, No. 12
* energy relative to the elements: 428 meV/atom

[2]
Density functional theory data (SCAN) for a PBEsol-optimized structure of MnSbI2F.

abc: 5.696 5.696 4.199
angles: 90.00 90.00 90.00
Fractional positions:
Mn 0.000 0.000 0.000
Sb 0.500 0.500 0.000
I 0.000 0.500 0.500
I 0.500 0.000 0.500
F 0.500 0.500 0.500

* space-group type: P4/mmm, No. 123
* raw formation energy: -0.54 eV per formula unit

[3]
Density functional theory data (SCAN) for a PBEsol-optimized structure of LaTa2Tl.

abc: 9.167 3.011 6.861
angles: 90.00 94.80 90.00
Fractional positions:
La 0.000 0.000 0.000
La 0.500 0.500 0.000
Ta 0.229 0.000 0.706
Ta 0.488 0.000 0.544
Ta 0.729 0.500 0.706
Ta 0.988 0.500 0.544
Tl 0.248 0.500 0.311
Tl 0.748 0.000 0.311

* space-group type: Cm, No. 8
* energy relative to the elements: 440 meV/atom

[4]
Density functional theory data (SCAN) for a PBEsol-optimized structure of CaIn2Pb.

abc: 4.625 4.625 9.854
angles: 90.00 90.00 90.00
Fractional positions:
Ca 0.000 0.000 0.000
Ca 0.500 0.500 0.500
In 0.000 0.000 0.500
In 0.000 0.500 0.250
In 0.500 0.000 0.750
In 0.500 0.500 0.000
Pb 0.000 0.500 0.750
Pb 0.500 0.000 0.250

* space-group type: I-4m2, No. 119
* energy relative to the elements: -378 meV/atom

[5]
Density functional theory data (SCAN) for a PBEsol-optimized structure of Li2MgMnCl.

abc: 5.000 5.000 5.271
angles: 90.00 90.00 90.00
Fractional positions:
Li 0.000 0.500 0.000
Li 0.500 0.000 0.000
Mg 0.000 0.000 0.500
Mn 0.000 0.000 0.000
Cl 0.500 0.500 0.500

* space-group type: P4/mmm, No. 123
* raw formation energy: 1.53 eV per formula unit

[6]
Density functional theory data (SCAN) for a PBEsol-optimized structure of SiTc2Pb.

abc: 3.126 4.172 5.030
angles: 90.00 90.00 90.00
Fractional positions:
Si 0.000 0.000 0.000
Tc 0.000 0.500 0.500
Tc 0.500 0.500 0.000
Pb 0.500 0.000 0.500

* space-group type: Pmmm, No. 47
* raw formation energy: 2.76 eV per formula unit

[7]
Density functional theory data (SCAN) for a PBEsol-optimized structure of NiIrPt2.

abc: 2.720 2.720 25.767
angles: 90.00 90.00 120.00
Fractional positions:
Ni 0.000 0.000 0.000
Ni 0.333 0.667 0.667
Ni 0.667 0.333 0.333
Ir 0.000 0.000 0.500
Ir 0.333 0.667 0.167
Ir 0.667 0.333 0.833
Pt 0.000 0.000 0.254
Pt 0.000 0.000 0.746
Pt 0.333 0.667 0.413
Pt 0.333 0.667 0.921
Pt 0.667 0.333 0.079
Pt 0.667 0.333 0.587

* space-group type: R-3m, No. 166
* energy relative to the elements: -21 meV/atom

[8]
Density functional theory data (SCAN) for a PBEsol-optimized structure of Ba2SrTiAl.

abc: 6.454 6.454 5.239
angles: 90.00 90.00 90.00
Fractional positions:
Ba 0.000 0.500 0.000
Ba 0.500 0.000 0.000
Sr 0.000 0.000 0.500
Ti 0.500 0.500 0.500
Al 0.500 0.500 0.000

* space-group type: P4/mmm, No. 123
* energy relative to the elements: 417 meV/atom

| no. | ρ (Mg/m³) | V (A^3/atom) |
| --- | --- | --- |
| 1 | 11.28 | 15.55 |
| 2 | 5.48 | 27.25 |
| 3 | 12.41 | 23.59 |
| 4 | 7.51 | 26.35 |
| 5 | 1.62 | 26.35 |
| 6 | 10.92 | 16.40 |
| 7 | 19.35 | 13.75 |
| 8 | 3.33 | 43.65 |